The following is a PBE+U calculation of an optimized crystal structure of MnCu2HgF8, from the Alexandria database.

Geometry as POSCAR:
```
MnCu2HgF8
1.0
-3.476 3.476 3.563
3.476 -3.476 3.563
3.476 3.476 -3.563
Mn Cu Hg F
1 2 1 8
Direct
0.000 0.000 0.000
0.500 0.500 0.000
0.750 0.250 0.500
0.250 0.750 0.500
0.294 0.116 0.822
0.294 0.473 0.178
0.358 0.062 0.296
0.527 0.706 0.822
0.766 0.062 0.704
0.884 0.706 0.178
0.938 0.234 0.296
0.938 0.642 0.704
```

Fermi-level density of states = 0.838 states/eV/atom
calculated total energy = -4.252 eV/atom
crystal system = tetragonal